# Tb2Pr6DyTm3, relaxed, DFT PBE
data_Tb2Pr6DyTm3
_chemical_formula_sum 'Tb4 Pr12 Dy2 Tm6'
_cell_length_a 6.291
_cell_length_b 10.895
_cell_length_c 11.841
_cell_angle_alpha 90.00
_cell_angle_beta 100.18
_cell_angle_gamma 90.00
_symmetry_space_group_name_H-M 'C 1 2/m 1'
_symmetry_Int_Tables_number 12
loop_
_symmetry_equiv_pos_as_xyz
'x,y,z'
'-x,-y,-z'
'-x,y,-z'
'x,-y,z'
'x+1/2,y+1/2,z'
'-x+1/2,-y+1/2,-z'
'-x+1/2,y+1/2,-z'
'x+1/2,-y+1/2,z'
loop_
_atom_site_label
_atom_site_fract_x
_atom_site_fract_y
_atom_site_fract_z
_atom_site_occupancy
Tb1 0.000 0.167 0.000 1
Pr1 0.249 0.167 0.748 1
Pr2 0.249 0.500 0.748 1
Dy1 0.000 0.500 0.000 1
Tm1 0.000 0.000 0.500 1
Tm2 0.000 0.333 0.500 1
# theoretical density	7.62	Mg/m³
# calculated volume	33.286	A^3/atom
# magnetization	0.00	Bohr magnetons per cell
# ΔE_f	0.01	eV per atom

# ZrNbZn2Cr, relaxed, DFT PBE
data_ZrNbZn2Cr
_chemical_formula_sum 'Zr1 Nb1 Zn2 Cr1'
_cell_length_a 4.629
_cell_length_b 4.629
_cell_length_c 4.462
_cell_angle_alpha 90.00
_cell_angle_beta 90.00
_cell_angle_gamma 90.00
_symmetry_space_group_name_H-M 'P 4/m m m'
_symmetry_Int_Tables_number 123
_symmetry_space_group_name_Hall '-P 4 2'
loop_
_atom_site_label
_atom_site_fract_x
_atom_site_fract_y
_atom_site_fract_z
_atom_site_occupancy
Zr1 0.000 0.000 0.000 1
Nb1 0.500 0.500 0.000 1
Zn1 0.000 0.500 0.500 1
Cr1 0.000 0.000 0.500 1
# theoretical density	6.37	Mg/m³
# calculated volume	19.124	A^3/atom
# magnetization	0.45	Bohr magnetons per cell
# ΔE_f	0.90	eV per atom

# ZrTlPt2, relaxed, DFT PBE
data_ZrTlPt2
_chemical_formula_sum 'Zr3 Tl3 Pt6'
_cell_length_a 3.0835
_cell_length_b 3.0835
_cell_length_c 28.0945
_cell_angle_alpha 90.00
_cell_angle_beta 90.00
_cell_angle_gamma 120.00
_symmetry_space_group_name_H-M 'R 3 m'
_symmetry_Int_Tables_number 160
_symmetry_space_group_name_Hall 'R 3 -2"'
loop_
_atom_site_label
_atom_site_fract_x
_atom_site_fract_y
_atom_site_fract_z
_atom_site_occupancy
Zr1 0.0000 0.0000 0.0000 1
Tl1 0.0000 0.0000 0.2389 1
Pt1 0.0000 0.0000 0.4924 1
Pt2 0.0000 0.0000 0.7452 1
# theoretical density	14.77	Mg/m³
# calculated volume	19.278	A^3/atom
# magnetization	0.00	Bohr magnetons per cell
# ΔE_f	-0.08	eV per atom

# Zn2TcTeBr, relaxed, DFT PBE
data_Zn2TcTeBr
_chemical_formula_sum 'Zn2 Tc1 Te1 Br1'
_cell_length_a 5.406
_cell_length_b 5.406
_cell_length_c 5.222
_cell_angle_alpha 90.00
_cell_angle_beta 90.00
_cell_angle_gamma 90.00
_symmetry_space_group_name_H-M 'P 4/m m m'
_symmetry_Int_Tables_number 123
_symmetry_space_group_name_Hall '-P 4 2'
loop_
_atom_site_label
_atom_site_fract_x
_atom_site_fract_y
_atom_site_fract_z
_atom_site_occupancy
Zn1 0.000 0.500 0.000 1
Tc1 0.000 0.000 0.500 1
Te1 0.000 0.000 0.000 1
Br1 0.500 0.500 0.500 1
# formation energy without anion corrections	0.78	eV per atom
# theoretical density	4.75	Mg/m³
# calculated volume	30.525	A^3/atom
# magnetization	3.49	Bohr magnetons per cell

# PdPb2AuBr, relaxed, DFT PBE
data_PdPb2AuBr
_chemical_formula_sum 'Pd1 Pb2 Au1 Br1'
_cell_length_a 5.557
_cell_length_b 5.557
_cell_length_c 5.156
_cell_angle_alpha 90.00
_cell_angle_beta 90.00
_cell_angle_gamma 90.00
_symmetry_space_group_name_H-M 'P 4/m m m'
_symmetry_Int_Tables_number 123
_symmetry_space_group_name_Hall '-P 4 2'
loop_
_atom_site_label
_atom_site_fract_x
_atom_site_fract_y
_atom_site_fract_z
_atom_site_occupancy
Pd1 0.000 0.000 0.000 1
Pb1 0.000 0.500 0.500 1
Au1 0.500 0.500 0.500 1
Br1 0.500 0.500 0.000 1
# formation energy without anion corrections	0.51	eV per atom
# theoretical density	8.32	Mg/m³
# calculated volume	31.846	A^3/atom
# magnetization	0.00	Bohr magnetons per cell

# Sr2TlPd2, relaxed, DFT PBE
data_Sr2TlPd2
_chemical_formula_sum 'Sr4 Tl2 Pd4'
_cell_length_a 5.952
_cell_length_b 5.952
_cell_length_c 8.209
_cell_angle_alpha 90.00
_cell_angle_beta 90.00
_cell_angle_gamma 90.00
_symmetry_space_group_name_H-M 'I 4/m m m'
_symmetry_Int_Tables_number 139
_symmetry_space_group_name_Hall '-I 4 2'
loop_
_atom_site_label
_atom_site_fract_x
_atom_site_fract_y
_atom_site_fract_z
_atom_site_occupancy
Sr1 0.000 0.500 0.250 1
Tl1 0.000 0.000 0.000 1
Pd1 0.000 0.000 0.337 1
# theoretical density	6.76	Mg/m³
# calculated volume	29.086	A^3/atom
# magnetization	0.00	Bohr magnetons per cell
# ΔE_f	-0.42	eV per atom

# Pa2AlAg, relaxed, DFT PBE
data_Pa2AlAg
_chemical_formula_sum 'Pa6 Al3 Ag3'
_cell_length_a 3.0267
_cell_length_b 3.0267
_cell_length_c 34.5335
_cell_angle_alpha 90.00
_cell_angle_beta 90.00
_cell_angle_gamma 120.00
_symmetry_space_group_name_H-M 'R -3 m'
_symmetry_Int_Tables_number 166
_symmetry_space_group_name_Hall '-R 3 2"'
loop_
_atom_site_label
_atom_site_fract_x
_atom_site_fract_y
_atom_site_fract_z
_atom_site_occupancy
Pa1 0.0000 0.0000 0.0909 1
Al1 0.0000 0.0000 0.5000 1
Ag1 0.0000 0.0000 0.0000 1
# theoretical density	10.85	Mg/m³
# calculated volume	22.832	A^3/atom
# magnetization	0.01	Bohr magnetons per cell
# ΔE to the lowest computed polymorph	0.87	eV per formula unit
# ΔE_f	0.22	eV per atom

# ReSbSCl2, relaxed, DFT PBE
data_ReSbSCl2
_chemical_formula_sum 'Re1 Sb1 S1 Cl2'
_cell_length_a 4.895
_cell_length_b 4.895
_cell_length_c 4.548
_cell_angle_alpha 90.00
_cell_angle_beta 90.00
_cell_angle_gamma 90.00
_symmetry_space_group_name_H-M 'P 4/m m m'
_symmetry_Int_Tables_number 123
_symmetry_space_group_name_Hall '-P 4 2'
loop_
_atom_site_label
_atom_site_fract_x
_atom_site_fract_y
_atom_site_fract_z
_atom_site_occupancy
Re1 0.000 0.000 0.000 1
Sb1 0.500 0.500 0.500 1
S1 0.000 0.000 0.500 1
Cl1 0.000 0.500 0.000 1
# formation energy without anion corrections	0.41	eV per atom
# theoretical density	6.26	Mg/m³
# calculated volume	21.798	A^3/atom
# magnetization	0.91	Bohr magnetons per cell
# ΔE to the lowest computed polymorph	0.00	eV per formula unit

# PuCu2O5, relaxed, DFT PBE
data_PuCu2O5
_chemical_formula_sum 'Pu4 Cu8 O20'
_cell_length_a 8.116
_cell_length_b 5.297
_cell_length_c 10.210
_cell_angle_alpha 90.00
_cell_angle_beta 112.32
_cell_angle_gamma 90.00
_symmetry_space_group_name_H-M 'P 1 21/c 1'
_symmetry_Int_Tables_number 14
loop_
_symmetry_equiv_pos_as_xyz
'x,y,z'
'-x,-y,-z'
'-x,y+1/2,-z+1/2'
'x,-y+1/2,z+1/2'
loop_
_atom_site_label
_atom_site_fract_x
_atom_site_fract_y
_atom_site_fract_z
_atom_site_occupancy
Pu1 0.000 0.000 0.000 1
Pu2 0.500 0.000 0.000 1
Cu1 0.194 0.036 0.313 1
Cu2 0.301 0.519 0.114 1
O1 0.030 0.230 0.158 1
O2 0.186 0.695 0.660 1
O3 0.234 0.225 0.973 1
O4 0.345 0.680 0.956 1
O5 0.436 0.076 0.805 1
# formation energy without anion corrections	-1.47	eV per atom
# theoretical density	7.38	Mg/m³
# calculated volume	12.689	A^3/atom
# magnetization	7.98	Bohr magnetons per cell

# LaScBiO2, relaxed, DFT PBE
data_LaScBiO2
_chemical_formula_sum 'La4 Sc4 Bi4 O8'
_cell_length_a 5.550
_cell_length_b 13.719
_cell_length_c 5.478
_cell_angle_alpha 90.00
_cell_angle_beta 90.00
_cell_angle_gamma 90.00
_symmetry_space_group_name_H-M 'C m c m'
_symmetry_Int_Tables_number 63
_symmetry_space_group_name_Hall '-C 2c 2'
loop_
_atom_site_label
_atom_site_fract_x
_atom_site_fract_y
_atom_site_fract_z
_atom_site_occupancy
La1 0.000 0.094 0.250 1
Sc1 0.000 0.435 0.250 1
Bi1 0.000 0.250 0.750 1
O1 0.235 0.500 0.000 1
# formation energy without anion corrections	-2.59	eV per atom
# theoretical density	6.77	Mg/m³
# calculated volume	20.854	A^3/atom
# magnetization	0.00	Bohr magnetons per cell

# SrPmPI, relaxed, DFT PBE
data_SrPmPI
_chemical_formula_sum 'Sr3 Pm3 P3 I3'
_cell_length_a 4.2851
_cell_length_b 4.2851
_cell_length_c 23.8039
_cell_angle_alpha 90.00
_cell_angle_beta 90.00
_cell_angle_gamma 120.00
_symmetry_space_group_name_H-M 'R 3 m'
_symmetry_Int_Tables_number 160
_symmetry_space_group_name_Hall 'R 3 -2"'
loop_
_atom_site_label
_atom_site_fract_x
_atom_site_fract_y
_atom_site_fract_z
_atom_site_occupancy
Sr1 0.0000 0.0000 0.0000 1
Pm1 0.0000 0.0000 0.7958 1
P1 0.0000 0.0000 0.4040 1
I1 0.0000 0.0000 0.2261 1
# formation energy without anion corrections	-1.33	eV per atom
# theoretical density	5.14	Mg/m³
# calculated volume	31.544	A^3/atom
# magnetization	0.00	Bohr magnetons per cell

# PaTc2RuC, relaxed, DFT PBE
data_PaTc2RuC
_chemical_formula_sum 'Pa1 Tc2 Ru1 C1'
_cell_length_a 4.218
_cell_length_b 4.218
_cell_length_c 4.153
_cell_angle_alpha 90.00
_cell_angle_beta 90.00
_cell_angle_gamma 90.00
_symmetry_space_group_name_H-M 'P 4/m m m'
_symmetry_Int_Tables_number 123
_symmetry_space_group_name_Hall '-P 4 2'
loop_
_atom_site_label
_atom_site_fract_x
_atom_site_fract_y
_atom_site_fract_z
_atom_site_occupancy
Pa1 0.000 0.000 0.000 1
Tc1 0.000 0.500 0.500 1
Ru1 0.500 0.500 0.000 1
C1 0.500 0.500 0.500 1
# theoretical density	12.14	Mg/m³
# calculated volume	14.779	A^3/atom
# magnetization	0.00	Bohr magnetons per cell
# ΔE_f	-0.33	eV per atom